Here is an optimized crystal structure of TaBeAl2 from Alexandria. Energies are from PBE.

```
4
Lattice="-4.029 1.537 -4.273 -0.527 -4.189 2.365 -2.563 0.804 0.831" Properties=species:S:1:pos:R:3 pbc="T T T"
Al 0.000 0.000 0.000
Al -3.296 1.171 -1.721
Ta -2.278 -1.326 -0.954
Be -1.545 -1.692 1.598
```

Summary:
Its volume is 15.18 A^3/atom. The total moment comes out at 0.00 μB/cell. As for the symmetry: C2/m, No. 12. The formation energy is 0.00 eV/atom.

***

Here is an optimized crystal structure of TaBeAl3 from Alexandria. Energies are from PBE.

```
5
Lattice="-1.065 2.956 -3.901 -4.297 -2.476 -0.703 -2.343 3.197 3.062" Properties=species:S:1:pos:R:3 pbc="T T T"
Al -0.533 1.478 -1.951
Ta 0.000 0.000 0.000
Al -2.149 -1.238 -0.352
Be -3.853 1.839 -0.771
Al -1.172 1.599 1.531
```

Summary:
Its volume is 25.14 A^3/atom. The total moment comes out at 0.00 μB/cell. As for the symmetry: Pm-3m, No. 221. The formation energy is 1.38 eV/atom.

***

Here is an optimized crystal structure of TaBeAl2 from Alexandria. Energies are from PBE.

```
4
Lattice="2.902 0.000 0.000 0.000 3.803 0.000 0.000 0.000 5.469" Properties=species:S:1:pos:R:3 pbc="T T T"
Al 0.000 0.000 0.061
Al 0.000 0.000 2.673
Be 1.451 1.901 1.367
Ta 1.451 1.901 4.102
```

Summary:
Its volume is 15.09 A^3/atom. The total moment comes out at 0.00 μB/cell. As for the symmetry: Pmmm, No. 47. The formation energy is 0.04 eV/atom.

***

Here is an optimized crystal structure of TaBeAl2 from Alexandria. Energies are from PBE.

```
4
Lattice="-2.283 -0.830 -3.637 1.522 -2.867 -2.930 -1.977 -3.868 -0.505" Properties=species:S:1:pos:R:3 pbc="T T T"
Al -2.054 -5.674 -5.304
Be -1.369 -3.783 -3.536
Al 0.000 0.000 0.000
Ta -0.685 -1.891 -1.768
```

Summary:
Its volume is 14.79 A^3/atom. The total moment comes out at 0.23 μB/cell. As for the symmetry: F-43m, No. 216. The formation energy is 0.31 eV/atom.